AlTc2Ru: relaxed, PBE.

Geometry as POSCAR:
```
AlTc2Ru
1.0
-0.318 -4.118 -1.359
-0.114 -1.132 3.458
-3.629 0.289 -0.025
Ru Tc Al
1 2 1
Cartesian
-1.974 -1.915 -0.692 Ru
0.000 0.000 0.000 Tc
-1.871 -0.422 1.717 Tc
-0.216 -2.625 1.050 Al
```

Computed properties:
Calculated volume ... 14.41 Å³ per atom
SG ... P4/mmm
Energy of formation ... -0.0474 eV per atom